# 1
DFT (PBE) results for crystalline YEr2ScBi4 at its relaxed geometry.

Structure (CIF):
```
data_YEr2ScBi4
_chemical_formula_sum 'Y1 Er2 Sc1 Bi4'
_cell_length_a 4.417
_cell_length_b 7.645
_cell_length_c 7.646
_cell_angle_alpha 109.46
_cell_angle_beta 90.00
_cell_angle_gamma 90.00
_space_group_name_H-M_alt 'P 1'
_space_group_IT_number 1
loop_
_space_group_symop_operation_xyz
'x,y,z'
loop_
_atom_site_label
_atom_site_fract_x
_atom_site_fract_y
_atom_site_fract_z
Bi1 0.500 0.744 0.752
Bi2 0.000 0.259 0.757
Bi3 0.000 0.741 0.243
Bi4 0.500 0.256 0.248
Er1 0.500 0.000 0.500
Er2 0.000 0.500 0.500
Sc1 0.500 0.500 0.000
Y1 0.000 0.000 0.000
```

Output
energy relative to the elements: -0.79 eV/atom
SG: P2/m
density of states at the Fermi level: 0.17 states/eV/atom



# 2
DFT (PBE) results for crystalline PrHgPtRh at its relaxed geometry.

Structure (CIF):
```
data_PrHgPtRh
_chemical_formula_sum 'Pr1 Hg1 Pt1 Rh1'
_cell_length_a 4.866
_cell_length_b 4.866
_cell_length_c 4.866
_cell_angle_alpha 60.00
_cell_angle_beta 60.00
_cell_angle_gamma 60.00
_space_group_name_H-M_alt 'P 1'
_space_group_IT_number 1
loop_
_space_group_symop_operation_xyz
'x,y,z'
loop_
_atom_site_label
_atom_site_fract_x
_atom_site_fract_y
_atom_site_fract_z
Pt1 0.250 0.250 0.250
Hg1 0.000 0.000 0.000
Pr1 0.500 0.500 0.500
Rh1 0.750 0.750 0.750
```

Output
energy relative to the elements: -0.47 eV/atom
SG: F-43m
density of states at the Fermi level: 0.60 states/eV/atom



# 3
DFT (PBE) results for crystalline La2Zr2Sb at its relaxed geometry.

Structure (CIF):
```
data_La2Zr2Sb
_chemical_formula_sum 'La4 Zr4 Sb2'
_cell_length_a 7.678
_cell_length_b 7.678
_cell_length_c 4.803
_cell_angle_alpha 90.00
_cell_angle_beta 90.00
_cell_angle_gamma 90.00
_space_group_name_H-M_alt 'P 1'
_space_group_IT_number 1
loop_
_space_group_symop_operation_xyz
'x,y,z'
loop_
_atom_site_label
_atom_site_fract_x
_atom_site_fract_y
_atom_site_fract_z
La1 0.174 0.674 0.500
La2 0.826 0.326 0.500
La3 0.326 0.174 0.500
La4 0.674 0.826 0.500
Zr1 0.638 0.138 0.000
Zr2 0.862 0.638 0.000
Zr3 0.362 0.862 0.000
Zr4 0.138 0.362 0.000
Sb1 0.500 0.500 0.000
Sb2 0.000 0.000 0.000
```

Output
SG: P4/mbm
uncorrected formation energy: -0.242 eV per atom
density of states at the Fermi level: 1.26 states/eV/atom



# 4
DFT (PBE) results for crystalline LaPuTl at its relaxed geometry.

Structure (CIF):
```
data_LaPuTl
_chemical_formula_sum 'La1 Pu1 Tl1'
_cell_length_a 3.978
_cell_length_b 3.978
_cell_length_c 6.422
_cell_angle_alpha 108.04
_cell_angle_beta 108.04
_cell_angle_gamma 90.00
_space_group_name_H-M_alt 'P 1'
_space_group_IT_number 1
loop_
_space_group_symop_operation_xyz
'x,y,z'
loop_
_atom_site_label
_atom_site_fract_x
_atom_site_fract_y
_atom_site_fract_z
Tl1 0.288 0.288 0.576
Pu1 0.939 0.939 0.878
La1 0.623 0.623 0.247
```

Output
energy relative to the elements: -0.05 eV/atom
SG: I4mm
energy above the lowest structure with this stoichiometry: 0 meV/atom
density of states at the Fermi level: 2.93 states/eV/atom



# 5
DFT (PBE) results for crystalline ScCo2W at its relaxed geometry.

Structure (CIF):
```
data_ScCo2W
_chemical_formula_sum 'Sc1 Co2 W1'
_cell_length_a 4.276
_cell_length_b 4.276
_cell_length_c 4.276
_cell_angle_alpha 60.00
_cell_angle_beta 60.00
_cell_angle_gamma 60.00
_space_group_name_H-M_alt 'P 1'
_space_group_IT_number 1
loop_
_space_group_symop_operation_xyz
'x,y,z'
loop_
_atom_site_label
_atom_site_fract_x
_atom_site_fract_y
_atom_site_fract_z
Co1 0.750 0.750 0.750
Co2 0.000 0.000 0.000
W1 0.250 0.250 0.250
Sc1 0.500 0.500 0.500
```

Output
energy relative to the elements: 0.28 eV/atom
SG: F-43m
energy above the lowest structure with this stoichiometry: 347 meV/atom
density of states at the Fermi level: 1.81 states/eV/atom



# 6
DFT (PBE) results for crystalline CaAg4Ge at its relaxed geometry.

Structure (CIF):
```
data_CaAg4Ge
_chemical_formula_sum 'Ca2 Ag8 Ge2'
_cell_length_a 4.589
_cell_length_b 7.562
_cell_length_c 7.110
_cell_angle_alpha 90.00
_cell_angle_beta 90.00
_cell_angle_gamma 90.00
_space_group_name_H-M_alt 'P 1'
_space_group_IT_number 1
loop_
_space_group_symop_operation_xyz
'x,y,z'
loop_
_atom_site_label
_atom_site_fract_x
_atom_site_fract_y
_atom_site_fract_z
Ag1 0.500 0.690 0.452
Ag2 0.500 0.952 0.750
Ag3 0.500 0.310 0.548
Ag4 0.000 0.000 0.500
Ag5 0.500 0.690 0.048
Ag6 0.500 0.310 0.952
Ag7 0.000 0.000 0.000
Ag8 0.500 0.048 0.250
Ca1 0.000 0.364 0.250
Ca2 0.000 0.636 0.750
Ge1 0.000 0.749 0.250
Ge2 0.000 0.251 0.750
```

Output
energy relative to the elements: -0.12 eV/atom
SG: Pmma
density of states at the Fermi level: 0.28 states/eV/atom



# 7
DFT (PBE) results for crystalline V2HgC at its relaxed geometry.

Structure (CIF):
```
data_V2HgC
_chemical_formula_sum 'V2 Hg1 C1'
_cell_length_a 3.044
_cell_length_b 3.044
_cell_length_c 6.972
_cell_angle_alpha 77.39
_cell_angle_beta 77.39
_cell_angle_gamma 60.00
_space_group_name_H-M_alt 'P 1'
_space_group_IT_number 1
loop_
_space_group_symop_operation_xyz
'x,y,z'
loop_
_atom_site_label
_atom_site_fract_x
_atom_site_fract_y
_atom_site_fract_z
V1 0.283 0.283 0.150
V2 0.717 0.717 0.850
Hg1 0.500 0.500 0.500
C1 0.000 0.000 0.000
```

Output
energy relative to the elements: -0.28 eV/atom
SG: R-3m
density of states at the Fermi level: 0.62 states/eV/atom



# 8
DFT (PBE) results for crystalline NaAlCrS2 at its relaxed geometry.

Structure (CIF):
```
data_NaAlCrS2
_chemical_formula_sum 'Na1 Al1 Cr1 S2'
_cell_length_a 4.447
_cell_length_b 5.331
_cell_length_c 4.447
_cell_angle_alpha 90.00
_cell_angle_beta 90.00
_cell_angle_gamma 90.00
_space_group_name_H-M_alt 'P 1'
_space_group_IT_number 1
loop_
_space_group_symop_operation_xyz
'x,y,z'
loop_
_atom_site_label
_atom_site_fract_x
_atom_site_fract_y
_atom_site_fract_z
S1 0.000 0.000 0.500
S2 0.500 0.000 0.000
Cr1 0.000 0.000 0.000
Na1 0.000 0.500 0.000
Al1 0.500 0.500 0.500
```

Output
SG: P4/mmm
uncorrected formation energy: 0.249 eV per atom
density of states at the Fermi level: 0.61 states/eV/atom